[1]
VASP calculation (PBE) on Ba4RhBrCl2 after structural relaxation.

a b c (Å): 8.140 4.491 8.383
angles (deg): 90.00 105.53 90.00
Space group P2/m (No. 10)
Asymmetric unit:
Ba 0.228 0.000 0.219 [2 per cell]
Ba 0.231 0.500 0.780 [2 per cell]
Rh 0.000 0.500 0.000 [1 per cell]
Br 0.000 0.000 0.500 [1 per cell]
Cl 0.500 0.000 0.000 [1 per cell]
Cl 0.500 0.500 0.500 [1 per cell]

Computed properties:
Raw formation energy   -1.38 eV per atom
M_tot   0.0 μB per formula unit
Final energy   -3.935 eV/atom



[2]
VASP calculation (PBE) on Ba8Rh3Br4Cl after structural relaxation.

a b c (Å): 9.1746 9.1746 24.4941
angles (deg): 90.00 90.00 120.00
Space group R-3m (No. 166, hexagonal axes)
Asymmetric unit:
Ba 0.0000 0.0000 0.2400 [6 per cell]
Ba 0.0178 0.5089 0.7637 [18 per cell]
Rh 0.0000 0.5000 0.5000 [9 per cell]
Br 0.0000 0.0000 0.0000 [3 per cell]
Br 0.0000 0.5000 0.0000 [9 per cell]
Cl 0.0000 0.0000 0.5000 [3 per cell]

Computed properties:
Raw formation energy   -1.16 eV per atom
M_tot   0.0 μB per formula unit
Final energy   -4.036 eV/atom



[3]
VASP calculation (PBE) on BaSBrCl2 after structural relaxation.

a b c (Å): 5.539 5.539 4.910
angles (deg): 90.00 90.00 90.00
Space group P4/mmm (No. 123)
Asymmetric unit:
Ba 0.000 0.000 0.000 [1 per cell]
S 0.500 0.500 0.000 [1 per cell]
Br 0.500 0.500 0.500 [1 per cell]
Cl 0.000 0.500 0.500 [2 per cell]

Computed properties:
Raw formation energy   -0.77 eV per atom
M_tot   0.0 μB per formula unit
Distance to the lowest polymorph of the same formula   0 meV per atom
Final energy   -3.052 eV/atom



[4]
VASP calculation (PBE) on BaS2BrCl after structural relaxation.

a b c (Å): 4.847 4.847 6.170
angles (deg): 90.00 90.00 90.00
Space group P4/mmm (No. 123)
Asymmetric unit:
Ba 0.000 0.000 0.000 [1 per cell]
S 0.000 0.500 0.500 [2 per cell]
Br 0.500 0.500 0.500 [1 per cell]
Cl 0.500 0.500 0.000 [1 per cell]

Computed properties:
Raw formation energy   -0.59 eV per atom
M_tot   0.0 μB per formula unit
Distance to the lowest polymorph of the same formula   0 meV per atom
Final energy   -3.331 eV/atom



[5]
VASP calculation (PBE) on BaSBrCl2 after structural relaxation.

a b c (Å): 5.967 5.967 6.710
angles (deg): 90.00 90.00 90.00
Space group P4/mmm (No. 123)
Asymmetric unit:
Ba 0.000 0.000 0.000 [1 per cell]
S 0.000 0.000 0.500 [1 per cell]
Br 0.500 0.500 0.500 [1 per cell]
Cl 0.000 0.500 0.000 [2 per cell]

Computed properties:
Raw formation energy   -0.58 eV per atom
M_tot   3.0 μB per formula unit
Distance to the lowest polymorph of the same formula   185 meV per atom
Final energy   -2.866 eV/atom



[6]
VASP calculation (PBE) on BaS2BrCl after structural relaxation.

a b c (Å): 6.470 6.470 5.809
angles (deg): 90.00 90.00 90.00
Space group P4/mmm (No. 123)
Asymmetric unit:
Ba 0.000 0.000 0.000 [1 per cell]
S 0.000 0.500 0.000 [2 per cell]
Br 0.500 0.500 0.500 [1 per cell]
Cl 0.000 0.000 0.500 [1 per cell]

Computed properties:
Raw formation energy   -0.11 eV per atom
M_tot   4.0 μB per formula unit
Distance to the lowest polymorph of the same formula   486 meV per atom
Final energy   -2.846 eV/atom